(1)
HoZrU: optimized geometry, GGA-PBE.

a = 3.593 Å, b = 5.535 Å, c = 8.001 Å
α = 93.34°, β = 102.98°, γ = 90.00°
Fractional coordinates of all 6 atoms:
U 0.760 0.157 0.519
U 0.240 0.843 0.481
Zr 0.579 0.837 0.158
Zr 0.421 0.163 0.842
Ho 0.905 0.666 0.809
Ho 0.095 0.334 0.191

DOS(E_F) = 12.22 states/eV/cell
Final energy = -47.62 eV for the cell shown
Magnetic moment = 0.00 μB/cell

***

(2)
HoZr2U: optimized geometry, GGA-PBE.

a = 3.227 Å, b = 3.227 Å, c = 11.079 Å
α = 81.63°, β = 81.63°, γ = 60.00°
Fractional coordinates of all 4 atoms:
U 0.000 0.000 0.000
Ho 0.500 0.500 0.500
Zr 0.253 0.253 0.242
Zr 0.747 0.747 0.758

DOS(E_F) = 8.68 states/eV/cell
Final energy = -31.96 eV for the cell shown
Magnetic moment = 1.85 μB/cell